(1)
The following is a DFT calculation (PBE) of a relaxed La2Co crystal.

Cell: 6.2447 6.2447 6.2447 Å, 60.00 60.00 60.00°
Last column: magnetic moment on the atom in μB.
Atoms (fractional coordinates):
La (0.1250, 0.1250, 0.1250)  -0.04
La (0.1250, 0.1250, 0.6250)  -0.04
La (0.1250, 0.6250, 0.1250)  -0.04
La (0.6250, 0.1250, 0.1250)  -0.04
Co (0.7500, 0.7500, 0.7500)  1.84
Co (0.5000, 0.5000, 0.5000)  1.84

Its space group is No. 227. As for the spin magnetization: 3.04 μB per cell. Its calculated formation energy is 1042 meV per atom.

=====

(2)
The following is a DFT calculation (PBE) of a relaxed La7Co crystal.

Cell: 7.1552 7.1552 7.1552 Å, 60.00 60.00 60.00°
Last column: magnetic moment on the atom in μB.
Atoms (fractional coordinates):
La (0.5000, 0.5000, 0.0000)  -0.02
La (0.0000, 0.0000, 0.5000)  -0.02
La (0.5000, 0.5000, 0.5000)  -0.02
La (0.5000, 0.0000, 0.5000)  -0.02
La (0.0000, 0.5000, 0.5000)  -0.02
La (0.0000, 0.5000, 0.0000)  -0.02
La (0.5000, 0.0000, 0.0000)  -0.02
Co (0.0000, 0.0000, 0.0000)  -1.79

Its space group is No. 225. As for the spin magnetization: 1.97 μB per cell. Its calculated formation energy is 215 meV per atom.

=====

(3)
The following is a DFT calculation (PBE) of a relaxed La3Co crystal.

Cell: 5.2985 5.2985 5.2985 Å, 60.00 60.00 60.00°
Last column: magnetic moment on the atom in μB.
Atoms (fractional coordinates):
La (0.2500, 0.2500, 0.2500)  0.08
La (0.5000, 0.5000, 0.5000)  0.06
La (0.7500, 0.7500, 0.7500)  0.08
Co (0.0000, 0.0000, 0.0000)  -1.11

Its space group is No. 225. As for the spin magnetization: 0.69 μB per cell. Its calculated formation energy is 315 meV per atom.

=====

(4)
The following is a DFT calculation (PBE) of a relaxed La3Co2 crystal.

Cell: 6.9897 6.9897 7.5465 Å, 62.41 62.41 60.00°
Atoms (fractional coordinates):
La (0.0842, 0.7500, 0.7500)
La (0.9158, 0.2500, 0.2500)
La (0.5842, 0.9158, 0.2500)
La (0.4158, 0.0842, 0.7500)
La (0.7500, 0.4158, 0.7500)
La (0.2500, 0.5842, 0.2500)
Co (0.1753, 0.1753, 0.4741)
Co (0.6753, 0.6753, 0.9741)
Co (0.8247, 0.8247, 0.5259)
Co (0.3247, 0.3247, 0.0259)

Its space group is No. 167. As for the spin magnetization: 0.00 μB per cell. Its calculated formation energy is -86 meV per atom.

=====

(5)
The following is a DFT calculation (PBE) of a relaxed La2Co crystal.

Cell: 7.3078 7.3078 5.1353 Å, 90.00 90.00 120.00°
Atoms (fractional coordinates):
La (0.2910, 0.0000, 0.0000)
La (0.7090, 0.7090, 0.0000)
La (0.3790, 0.3790, 0.5000)
La (0.0000, 0.2910, 0.0000)
La (0.0000, 0.6210, 0.5000)
La (0.6210, 0.0000, 0.5000)
Co (0.6667, 0.3333, 0.0000)
Co (0.0000, 0.0000, 0.5000)
Co (0.3333, 0.6667, 0.0000)

Its space group is No. 189. As for the spin magnetization: 0.00 μB per cell. Its calculated formation energy is -51 meV per atom.

=====

(6)
The following is a DFT calculation (PBE) of a relaxed La4Co5 crystal.

Cell: 8.2972 8.2972 6.1325 Å, 90.00 90.00 60.00°
Last column: magnetic moment on the atom in μB.
Atoms (fractional coordinates):
La (0.3831, 0.0000, 0.2500)  0.13
La (0.0000, 0.6169, 0.2500)  0.13
La (0.0000, 0.0000, 0.5000)  0.08
La (0.3831, 0.6169, 0.7500)  0.13
La (0.0000, 0.0000, 0.0000)  0.08
La (0.6169, 0.0000, 0.7500)  0.13
La (0.6169, 0.3831, 0.2500)  0.13
La (0.0000, 0.3831, 0.7500)  0.13
Co (0.6899, 0.3101, 0.7500)  -0.36
Co (0.3101, 0.0000, 0.7500)  -0.36
Co (0.6899, 0.0000, 0.2500)  -0.36
Co (0.6667, 0.6667, 0.5000)  -1.12
Co (0.6667, 0.6667, 0.0000)  -1.12
Co (0.3333, 0.3333, 0.5000)  -1.12
Co (0.0000, 0.6899, 0.7500)  -0.36
Co (0.3333, 0.3333, 0.0000)  -1.12
Co (0.3101, 0.6899, 0.2500)  -0.36
Co (0.0000, 0.3101, 0.2500)  -0.36

Its space group is No. 193. As for the spin magnetization: 4.72 μB per cell. Its calculated formation energy is 265 meV per atom.

=====

Copy entry 3 word for word.
The following is a DFT calculation (PBE) of a relaxed La3Co crystal.

Cell: 5.2985 5.2985 5.2985 Å, 60.00 60.00 60.00°
Last column: magnetic moment on the atom in μB.
Atoms (fractional coordinates):
La (0.2500, 0.2500, 0.2500)  0.08
La (0.5000, 0.5000, 0.5000)  0.06
La (0.7500, 0.7500, 0.7500)  0.08
Co (0.0000, 0.0000, 0.0000)  -1.11

Its space group is No. 225. As for the spin magnetization: 0.69 μB per cell. Its calculated formation energy is 315 meV per atom.